A:
## B5C7 (GGA-PBE)

Data for B5C7 after structural relaxation.

Space group: Pm, No. 6

Geometry as POSCAR:
```
B5C7
1.0
2.534 0.000 0.000
0.000 4.642 -0.057
0.000 -0.075 6.762
B C
5 7
Cartesian
1.267 4.143 2.340 B
1.267 2.203 1.444 B
0.000 3.016 4.525 B
0.000 1.398 2.405 B
0.000 4.559 -0.044 B
1.267 2.229 6.631 C
1.267 0.778 6.096 C
0.000 1.486 4.001 C
0.000 4.493 1.545 C
0.000 2.967 6.141 C
1.267 0.758 4.563 C
1.267 3.975 3.912 C
```


B:
## B5C7 (GGA-PBE)

Data for B5C7 after structural relaxation.

Space group: P3m1, No. 156

Geometry as POSCAR:
```
B5C7
1.0
2.644 0.000 0.000
-1.322 2.290 0.000
0.000 0.000 14.647
B C
5 7
Cartesian
1.322 0.763 13.134 B
1.322 0.763 9.417 B
1.322 0.763 4.758 B
0.000 1.526 7.603 B
0.000 1.526 2.506 B
0.000 0.000 13.349 C
0.000 1.526 9.260 C
0.000 0.000 5.498 C
0.000 0.000 6.911 C
1.322 0.763 3.198 C
0.000 0.000 0.383 C
0.000 1.526 0.880 C
```


Least stable of them? A.